Entry 1:
The following is a PBE calculation of Tb3Dy3HoTe8 after structural relaxation, from Alexandria.

```
15
Lattice="4.344 2.508 7.095 -4.344 2.508 7.095 0.000 -5.016 7.095" Properties=species:S:1:pos:R:3 pbc="T T T"
Tb -2.172 -1.254 7.095
Tb -2.172 1.254 14.190
Tb 0.000 2.508 7.095
Dy -4.344 0.000 10.643
Dy -2.172 1.254 3.548
Dy 2.172 1.254 3.548
Ho 0.000 0.000 10.643
Te -2.216 -1.280 12.442
Te 0.000 -2.559 8.843
Te -2.216 1.280 8.843
Te 0.000 0.000 5.310
Te 0.000 0.000 15.975
Te 2.216 -1.280 12.442
Te 0.000 2.559 12.442
Te 2.216 1.280 8.843
```

Calculated values
Space-group type   R-3m, No. 166
Total DFT energy (no corrections)   -77.9 eV per cell
Formation energy without anion corrections   -1981 kJ/mol of formula units

---

Entry 2:
The following is a PBE calculation of TbDy2HoTe5 after structural relaxation, from Alexandria.

```
9
Lattice="5.565 0.000 0.000 0.000 5.565 0.000 0.000 0.000 11.522" Properties=species:S:1:pos:R:3 pbc="T T T"
Tb 0.000 0.000 0.000
Dy 2.782 2.782 1.729
Dy 2.782 2.782 9.793
Ho 0.000 0.000 5.761
Te 0.000 0.000 2.937
Te 0.000 0.000 8.585
Te 0.000 2.782 0.000
Te 2.782 0.000 0.000
Te 2.782 2.782 5.761
```

Calculated values
Space-group type   P4/mmm, No. 123
Total DFT energy (no corrections)   -39.8 eV per cell
Formation energy without anion corrections   -545 kJ/mol of formula units

---

Entry 3:
The following is a PBE calculation of TbDyHo2Te6 after structural relaxation, from Alexandria.

```
10
Lattice="3.841 2.218 7.016 -3.841 2.218 7.016 0.000 -4.435 7.016" Properties=species:S:1:pos:R:3 pbc="T T T"
Tb 0.000 0.000 0.000
Dy 0.000 0.000 10.524
Ho 0.000 0.000 3.906
Ho 0.000 0.000 14.429
Te -2.650 0.114 8.987
Te -1.186 -2.096 12.486
Te 1.226 -2.352 8.987
Te -1.223 2.075 12.486
Te 1.424 2.237 8.987
Te 2.408 0.021 12.486
```

Calculated values
Space-group type   R3, No. 146
Total DFT energy (no corrections)   -50.8 eV per cell
Formation energy without anion corrections   -1312 kJ/mol of formula units

---

Entry 4:
The following is a PBE calculation of Tb3DyHo2Te6 after structural relaxation, from Alexandria.

```
12
Lattice="9.493 -2.169 0.000 9.493 2.169 0.000 -2.030 0.000 8.513" Properties=species:S:1:pos:R:3 pbc="T T T"
Tb 0.000 0.000 0.000
Tb 4.990 0.000 5.675
Tb 11.965 0.000 2.838
Dy -1.015 0.000 4.256
Ho 5.999 0.000 1.425
Ho 10.956 0.000 7.088
Te 1.975 0.000 4.985
Te 3.018 0.000 0.694
Te 8.967 0.000 2.134
Te 7.988 0.000 6.379
Te 13.937 0.000 7.819
Te 14.980 0.000 3.528
```

Calculated values
Space-group type   C2/m, No. 12
Total DFT energy (no corrections)   -61.9 eV per cell
Formation energy without anion corrections   -1486 kJ/mol of formula units

---

Entry 5:
The following is a PBE calculation of Tb2DyHoTe6 after structural relaxation, from Alexandria.

```
10
Lattice="3.850 2.223 7.031 -3.850 2.223 7.031 0.000 -4.445 7.031" Properties=species:S:1:pos:R:3 pbc="T T T"
Tb 0.000 0.000 0.000
Tb 0.000 0.000 10.540
Dy 0.000 0.000 3.922
Ho 0.000 0.000 14.461
Te -1.232 -2.364 9.001
Te -2.411 0.017 12.520
Te -1.431 2.249 9.001
Te 1.190 -2.097 12.520
Te 2.663 0.115 9.001
Te 1.221 2.079 12.520
```

Calculated values
Space-group type   R3, No. 146
Total DFT energy (no corrections)   -50.9 eV per cell
Formation energy without anion corrections   -1316 kJ/mol of formula units

---

Entry 6:
The following is a PBE calculation of TbDy3Ho2Te6 after structural relaxation, from Alexandria.

```
12
Lattice="9.476 -2.165 0.000 9.476 2.165 0.000 -2.010 0.000 8.505" Properties=species:S:1:pos:R:3 pbc="T T T"
Tb 0.000 0.000 0.000
Dy -1.005 0.000 4.253
Dy 6.010 0.000 1.418
Dy 10.932 0.000 7.087
Ho 4.994 0.000 5.684
Ho 11.948 0.000 2.821
Te 3.009 0.000 0.721
Te 2.004 0.000 4.953
Te 7.960 0.000 6.366
Te 8.982 0.000 2.139
Te 14.938 0.000 3.552
Te 13.933 0.000 7.784
```

Calculated values
Space-group type   C2/m, No. 12
Total DFT energy (no corrections)   -61.7 eV per cell
Formation energy without anion corrections   -1474 kJ/mol of formula units